Density functional theory data (PBE-GGA) for crystalline GaSeSN2 at its relaxed geometry. Values from VASP.

## Properties
size of the total moment	0.000	Bohr magnetons per cell
calculated density	3.59	g/cm3
V	19.3	A^3/atom
energy relative to the elements, uncorrected	1.32	eV per atom

Cell and atoms, written as Quantum ESPRESSO input:
```
&SYSTEM
  ibrav = 0, nat = 5, ntyp = 4
/
ATOMIC_SPECIES
Ga 69.72 Ga.upf
Se 78.96 Se.upf
S 32.06 S.upf
N 14.01 N.upf
ATOMIC_POSITIONS crystal
Ga 0.000 0.000 0.000
Se 0.500 0.500 0.500
S 0.500 0.500 0.000
N 0.000 0.500 0.500
N 0.500 0.000 0.500
CELL_PARAMETERS angstrom
3.687 0.000 0.000
0.000 3.687 0.000
0.000 0.000 7.103
```